Entry 1:
Material: LiCuTeOsS2
Method: DFT, PBE
State: relaxed

Results
E ... -4.93 eV/atom

a = 3.5993 Å, b = 12.7575 Å, c = 9.4864 Å
α = 90.00°, β = 90.00°, γ = 90.00°
Closest atoms and distances in Å follow each position.
Space group Cmcm (No. 63)
Unique sites:
1 Li 0.0000 0.1922 0.2500 (multiplicity 4)  2 Cu 2.71, 4 S 2.77
2 Cu 0.0000 0.4665 0.7500 (multiplicity 4)  2 S 2.20
3 Te 0.0000 0.1156 0.7500 (multiplicity 4)  2 Cu 2.62, 2 Os 2.79
4 Os 0.0000 0.0000 0.0000 (multiplicity 4)  4 S 2.42
5 S 0.0000 0.3793 0.5500 (multiplicity 8)  1 Cu 2.20, 2 Os 2.42

Entry 2:
Material: CsReCl4O2
Method: DFT, PBE
State: relaxed

Results
E ... -5.05 eV/atom

a = 6.6532 Å, b = 10.4203 Å, c = 11.7938 Å
α = 90.00°, β = 92.17°, γ = 90.00°
Closest atoms and distances in Å follow each position.
Space group P2_1/c (No. 14)
Unique sites:
1 Cs 0.1873 0.1111 0.1532 (multiplicity 4)  10 Cl 3.45-3.77, 1 O 3.52
2 Re 0.3234 0.6888 0.0528 (multiplicity 4)  2 O 1.73
3 Cl 0.0038 0.7149 0.6166 (multiplicity 4)  1 Re 2.49
4 Cl 0.1212 0.6005 0.9082 (multiplicity 4)  1 Re 2.32
5 Cl 0.3142 0.6126 0.4332 (multiplicity 4)  1 Re 2.50
6 Cl 0.4783 0.6774 0.6893 (multiplicity 4)  1 Re 2.34
7 O 0.2892 0.5646 0.1477 (multiplicity 4)  1 Re 1.73
8 O 0.4527 0.1509 0.5088 (multiplicity 4)  1 Re 1.73

Entry 3:
Material: Pr2CdAgAs2O2
Method: DFT, PBE
State: relaxed

Results
E ... -5.71 eV/atom

a = 4.1355 Å, b = 4.1355 Å, c = 9.3217 Å
α = 90.00°, β = 90.00°, γ = 90.00°
Closest atoms and distances in Å follow each position.
Space group P-4m2 (No. 115)
Unique sites:
1 Pr 0.0000 0.5000 0.1253 (multiplicity 2)  4 O 2.37
2 Cd 0.5000 0.5000 0.5000 (multiplicity 1)  4 As 2.75, 4 Ag 2.92
3 Ag 0.0000 0.0000 0.5000 (multiplicity 1)  4 As 2.75, 4 Cd 2.92
4 As 0.0000 0.5000 0.6938 (multiplicity 2)  2 Cd 2.75, 2 Ag 2.75
5 O 0.0000 0.0000 0.0000 (multiplicity 1)  4 Pr 2.37
6 O 0.5000 0.5000 0.0000 (multiplicity 1)  4 Pr 2.37

Entry 4:
Material: DyHoNi2B2N2
Method: DFT, PBE
State: relaxed

Results
E ... -7.40 eV/atom

a = 3.4829 Å, b = 3.4829 Å, c = 7.4991 Å
α = 90.00°, β = 90.00°, γ = 90.00°
Closest atoms and distances in Å follow each position.
Space group P4mm (No. 99)
Unique sites:
1 Dy 0.0000 0.0000 0.0000 (multiplicity 1)  5 N 2.34-2.47
2 Ho 0.5000 0.5000 0.6655 (multiplicity 1)  5 N 2.33-2.47
3 Ni 0.0000 0.5000 0.3328 (multiplicity 2)  4 B 2.12
4 B 0.0000 0.0000 0.4935 (multiplicity 1)  1 N 1.46
5 B 0.5000 0.5000 0.1710 (multiplicity 1)  1 N 1.46
6 N 0.0000 0.0000 0.6883 (multiplicity 1)  1 B 1.46
7 N 0.5000 0.5000 0.9759 (multiplicity 1)  1 B 1.46

Entry 5:
Material: HfNi2B3
Method: DFT, PBE
State: relaxed

Results
E ... -7.21 eV/atom

a = 4.8559 Å, b = 10.5999 Å, c = 4.8836 Å
α = 90.00°, β = 90.00°, γ = 90.00°
Closest atoms and distances in Å follow each position.
Space group Fmm2 (No. 42)
Unique sites:
1 Hf 0.0000 0.0000 0.0000 (multiplicity 4)  6 B 2.43-2.70
2 Ni 0.2500 0.2500 0.1982 (multiplicity 8)  4 B 2.02-2.03
3 B 0.0000 0.0000 0.5022 (multiplicity 4)  2 B 1.61
4 B 0.0000 0.1495 0.4468 (multiplicity 8)  1 B 1.61

Entry 6:
Material: Y2Lu5Ni2Te2
Method: DFT, PBE
State: relaxed

Results
Energy above the most stable polymorph in this dataset ... 0.000 eV/atom

a = 3.8124 Å, b = 15.3469 Å, c = 9.4394 Å
α = 90.00°, β = 90.00°, γ = 90.00°
Closest atoms and distances in Å follow each position.
Space group Imm2 (No. 44)
Unique sites:
1 Y 0.0000 0.1468 0.0000 (multiplicity 4)  2 Ni 2.83, 2 Te 3.12
2 Lu 0.0000 0.1846 0.3516 (multiplicity 4)  2 Ni 2.75
3 Lu 0.0000 0.3663 0.1484 (multiplicity 4)  2 Ni 2.72
4 Lu 0.0000 0.5000 0.7317 (multiplicity 2)  3 Te 3.15-3.20
5 Ni 0.0000 0.2601 0.6622 (multiplicity 4)  4 Lu 2.72-2.75, 2 Y 2.83
6 Te 0.0000 0.0000 0.4968 (multiplicity 2)  8 Lu 3.15
7 Te 0.0000 0.5000 0.3925 (multiplicity 2)  3 Lu 3.09-3.20, 4 Y 3.12